No. 1
## Nd3BiRuCl (GGA-PBE)

Data for an optimized crystal structure of Nd3BiRuCl.

Lattice parameters (Å, degrees): 4.576 7.907 9.844 110.46 90.00 90.00
Fractional coordinates of all 12 atoms:
1 Nd 0.250 0.716 0.466
2 Nd 0.750 0.913 0.102
3 Ru 0.250 0.730 0.152
4 Bi 0.250 0.258 0.280
5 Cl 0.750 0.879 0.386
6 Nd 0.250 0.087 0.898
7 Nd 0.250 0.533 0.865
8 Bi 0.750 0.742 0.720
9 Nd 0.750 0.467 0.135
10 Ru 0.750 0.270 0.848
11 Nd 0.750 0.284 0.534
12 Cl 0.250 0.121 0.614

Output
Raw formation energy = -732 meV/atom
DFT total energy = -5.6167 eV/atom

=====

No. 2
## Ni2Bi2Cl (GGA-PBE)

Data for an optimized crystal structure of Ni2Bi2Cl.

Lattice parameters (Å, degrees): 3.627 3.627 8.610 77.84 77.84 90.00
Fractional coordinates of all 5 atoms:
1 Bi 0.369 0.369 0.262
2 Ni 0.250 0.750 0.500
3 Ni 0.750 0.250 0.500
4 Cl 0.000 0.000 0.000
5 Bi 0.631 0.631 0.738

Output
Raw formation energy = -132 meV/atom
DFT total energy = -4.3666 eV/atom

=====

No. 3
## NiBi2Cl (GGA-PBE)

Data for an optimized crystal structure of NiBi2Cl.

Lattice parameters (Å, degrees): 6.444 6.444 7.606 64.94 64.94 90.00
Fractional coordinates of all 8 atoms:
1 Bi 0.875 0.950 0.750
2 Ni 0.750 0.250 0.500
3 Cl 0.500 0.500 0.000
4 Cl 0.250 0.750 0.500
5 Bi 0.375 0.300 0.750
6 Bi 0.700 0.125 0.250
7 Ni 0.000 0.000 0.000
8 Bi 0.050 0.625 0.250

Output
Raw formation energy = 64 meV/atom
DFT total energy = -3.7837 eV/atom

=====

No. 4
## NiBi2Cl (GGA-PBE)

Data for an optimized crystal structure of NiBi2Cl.

Lattice parameters (Å, degrees): 5.000 5.000 5.000 60.00 60.00 60.00
Fractional coordinates of all 4 atoms:
1 Bi 0.250 0.250 0.250
2 Bi 0.750 0.750 0.750
3 Ni 0.500 0.500 0.500
4 Cl 0.000 0.000 0.000

Output
Raw formation energy = 181 meV/atom
DFT total energy = -3.6666 eV/atom

=====

No. 5
## NiBi2Cl (GGA-PBE)

Data for an optimized crystal structure of NiBi2Cl.

Lattice parameters (Å, degrees): 4.085 4.085 7.560 74.33 74.33 60.00
Fractional coordinates of all 4 atoms:
1 Bi 0.059 0.059 0.823
2 Bi 0.275 0.275 0.174
3 Ni 0.667 0.667 0.000
4 Cl 0.499 0.499 0.503

Output
Raw formation energy = -226 meV/atom
DFT total energy = -4.0738 eV/atom

=====

No. 6
## NiBiCl2 (GGA-PBE)

Data for an optimized crystal structure of NiBiCl2.

Lattice parameters (Å, degrees): 6.481 6.481 6.655 60.86 60.86 90.00
Last column: magnetic moment on the atom in μB.
Fractional coordinates of all 8 atoms:
1 Bi 0.000 0.000 0.000  -0.01
2 Bi 0.750 0.250 0.500  -0.01
3 Ni 0.250 0.750 0.500  0.74
4 Cl 0.375 0.480 0.750  0.07
5 Cl 0.875 0.770 0.750  0.06
6 Cl 0.520 0.125 0.250  0.07
7 Cl 0.230 0.625 0.250  0.06
8 Ni 0.500 0.500 0.000  0.75

Output
Raw formation energy = 21 meV/atom
DFT total energy = -3.3175 eV/atom

=====

No. 7
## Ni2BiCl (GGA-PBE)

Data for an optimized crystal structure of Ni2BiCl.

Lattice parameters (Å, degrees): 4.604 4.604 4.604 60.00 60.00 60.00
Fractional coordinates of all 4 atoms:
1 Ni 0.750 0.750 0.750
2 Bi 0.500 0.500 0.500
3 Cl 0.000 0.000 0.000
4 Ni 0.250 0.250 0.250

Output
Raw formation energy = 402 meV/atom
DFT total energy = -3.9203 eV/atom

=====

No. 8
## Ni2BiCl (GGA-PBE)

Data for an optimized crystal structure of Ni2BiCl.

Lattice parameters (Å, degrees): 5.958 5.958 6.263 61.59 61.59 90.00
Fractional coordinates of all 8 atoms:
1 Ni 0.579 0.125 0.250
2 Bi 0.750 0.250 0.500
3 Cl 0.500 0.500 0.000
4 Cl 0.250 0.750 0.500
5 Ni 0.375 0.421 0.750
6 Bi 0.000 0.000 0.000
7 Ni 0.171 0.625 0.250
8 Ni 0.875 0.829 0.750

Output
Raw formation energy = 164 meV/atom
DFT total energy = -4.1581 eV/atom

=====

no.,density of states at the Fermi level (states/eV/f.u.)
1,4.2
2,2.2
3,2.9
4,4.2
5,1.7
6,5.4
7,2.3
8,2.5